No. 1
First-principles (PBE-GGA) data for ZrCo2Mo after structural relaxation, as listed in Alexandria.

Distance to the lowest polymorph of the same formula, eV/atom: 0.097
ΔE_f, eV per atom: 0.04
Total moment, μB/f.u.: 0.000
Space-group type: P4/mmm
Volume, Å³/atom: 14.430

Cell: 3.646 3.979 3.979 Å, 90.00 90.00 90.00°
Fractional positions:
Co: 0.000 0.000 0.000
Co: 0.000 0.500 0.500
Mo: 0.500 0.500 0.000
Zr: 0.500 0.000 0.500

No. 2
First-principles (PBE-GGA) data for ZrCo2Mo after structural relaxation, as listed in Alexandria.

Distance to the lowest polymorph of the same formula, eV/atom: 0.396
ΔE_f, eV per atom: 0.34
Total moment, μB/f.u.: 2.210
Space-group type: R-3m
Volume, Å³/atom: 14.994

Cell: 8.895 8.895 8.895 Å, 18.20 18.20 18.20°
Fractional positions:
Co: 0.994 0.994 0.994
Co: 0.506 0.506 0.506
Mo: 0.250 0.250 0.250
Zr: 0.750 0.750 0.750